Computed, not measured: a relaxed structure of Sc2MnIn at the PBE level of DFT.

Total magnetization ... 2.4 Bohr magnetons per cell
Energy relative to the elements ... -0.10 eV per atom

abc: 5.8655 5.8655 5.8655
angles: 146.65 130.78 60.76
Fractional positions:
1 In 0.5234 0.5234 0.0000
2 Mn 0.7438 0.2438 0.5000
3 Sc 0.9747 0.9747 0.0000
4 Sc 0.2582 0.7582 0.5000